Entry from the Alexandria database: a relaxed structure of CdMoNF2 (GGA+U).

Cell: 4.261 4.261 4.461 Å, 90.00 90.00 90.00°
Fractional coordinates of all 5 atoms:
Cd 0.000 0.000 0.000
Mo 0.500 0.500 0.500
N 0.000 0.000 0.500
F 0.000 0.500 0.000
F 0.500 0.000 0.000

Its energy relative to the lowest polymorph listed for this composition is 18.24 kcal/mol of atoms. Its crystal system is tetragonal. The space-group type is P4/mmm (123).